--- 1 ---
## P7Pb (GGA-PBE)

Data for P7Pb after structural relaxation.

Summary:
Crystal system   monoclinic

Structure (CIF):
```
data_P7Pb
_cell_length_a 9.789
_cell_length_b 6.912
_cell_length_c 12.742
_cell_angle_alpha 90.00
_cell_angle_beta 122.90
_cell_angle_gamma 90.00
_symmetry_space_group_name_H-M 'P 1 21/c 1'
_symmetry_Int_Tables_number 14
loop_
_symmetry_equiv_pos_as_xyz
'x,y,z'
'-x,-y,-z'
'-x,y+1/2,-z+1/2'
'x,-y+1/2,z+1/2'
loop_
_atom_site_label
_atom_site_fract_x
_atom_site_fract_y
_atom_site_fract_z
_atom_site_occupancy
P1 0.039 0.100 0.321 1
P2 0.051 0.086 0.587 1
P3 0.264 0.572 0.903 1
P4 0.296 0.550 0.189 1
P5 0.361 0.069 0.299 1
P6 0.400 0.086 0.588 1
P7 0.416 0.123 0.863 1
Pb1 0.200 0.018 0.940 1
```

---

--- 2 ---
## P7Pb (GGA-PBE)

Data for P7Pb after structural relaxation.

Summary:
Crystal system   cubic
DOS at the Fermi energy   27.2 states/eV per cell

Structure (CIF):
```
data_P7Pb
_cell_length_a 8.200
_cell_length_b 8.200
_cell_length_c 8.200
_cell_angle_alpha 90.00
_cell_angle_beta 90.00
_cell_angle_gamma 90.00
_symmetry_space_group_name_H-M 'F m -3 m'
_symmetry_Int_Tables_number 225
_symmetry_space_group_name_Hall '-F 4 2 3'
loop_
_atom_site_label
_atom_site_fract_x
_atom_site_fract_y
_atom_site_fract_z
_atom_site_occupancy
P1 0.000 0.000 0.000 1
P2 0.000 0.250 0.250 1
Pb1 0.000 0.000 0.500 1
```

---

We find 1 to be the most stable, with the next structure 970 meV per atom higher.

---

--- 1 ---
## P4Pb5 (GGA-PBE)

Data for P4Pb5 after structural relaxation.

Summary:
Crystal system   tetragonal
DOS at the Fermi energy   8.3 states/eV per cell

Structure (CIF):
```
data_P4Pb5
_cell_length_a 10.617
_cell_length_b 10.617
_cell_length_c 4.201
_cell_angle_alpha 90.00
_cell_angle_beta 90.00
_cell_angle_gamma 90.00
_symmetry_space_group_name_H-M 'I 4/m m m'
_symmetry_Int_Tables_number 139
_symmetry_space_group_name_Hall '-I 4 2'
loop_
_atom_site_label
_atom_site_fract_x
_atom_site_fract_y
_atom_site_fract_z
_atom_site_occupancy
P1 0.000 0.397 0.000 1
Pb1 0.000 0.000 0.000 1
Pb2 0.165 0.165 0.500 1
```

---

--- 2 ---
## P4Pb5 (GGA-PBE)

Data for P4Pb5 after structural relaxation.

Summary:
Crystal system   hexagonal
DOS at the Fermi energy   4.1 states/eV per cell

Structure (CIF):
```
data_P4Pb5
_cell_length_a 8.3409
_cell_length_b 8.3409
_cell_length_c 7.7208
_cell_angle_alpha 90.00
_cell_angle_beta 90.00
_cell_angle_gamma 120.00
_symmetry_space_group_name_H-M 'P 63/m c m'
_symmetry_Int_Tables_number 193
_symmetry_space_group_name_Hall '-P 6c 2'
loop_
_atom_site_label
_atom_site_fract_x
_atom_site_fract_y
_atom_site_fract_z
_atom_site_occupancy
P1 0.0000 0.0000 0.0000 1
P2 0.0000 0.4109 0.2500 1
Pb1 0.0000 0.2498 0.7500 1
Pb2 0.3333 0.6667 0.0000 1
```

---

We find 2 to be the most stable, with the next structure 125 meV per atom higher.

---

--- 1 ---
## PPd6Pb2 (GGA-PBE)

Data for PPd6Pb2 after structural relaxation.

Summary:
Crystal system   orthorhombic
DOS at the Fermi energy   6.3 states/eV per cell

Structure (CIF):
```
data_PPd6Pb2
_cell_length_a 3.835
_cell_length_b 7.257
_cell_length_c 12.266
_cell_angle_alpha 90.00
_cell_angle_beta 90.00
_cell_angle_gamma 90.00
_symmetry_space_group_name_H-M 'I m m m'
_symmetry_Int_Tables_number 71
_symmetry_space_group_name_Hall '-I 2 2'
loop_
_atom_site_label
_atom_site_fract_x
_atom_site_fract_y
_atom_site_fract_z
_atom_site_occupancy
P1 0.000 0.000 0.000 1
Pd1 0.000 0.207 0.163 1
Pd2 0.000 0.307 0.500 1
Pb1 0.000 0.000 0.355 1
```

---

--- 2 ---
## PPd6Pb2 (GGA-PBE)

Data for PPd6Pb2 after structural relaxation.

Summary:
Crystal system   cubic
DOS at the Fermi energy   23.2 states/eV per cell

Structure (CIF):
```
data_PPd6Pb2
_cell_length_a 8.657
_cell_length_b 8.657
_cell_length_c 8.657
_cell_angle_alpha 90.00
_cell_angle_beta 90.00
_cell_angle_gamma 90.00
_symmetry_space_group_name_H-M 'F m -3 m'
_symmetry_Int_Tables_number 225
_symmetry_space_group_name_Hall '-F 4 2 3'
loop_
_atom_site_label
_atom_site_fract_x
_atom_site_fract_y
_atom_site_fract_z
_atom_site_occupancy
P1 0.000 0.000 0.000 1
Pd1 0.000 0.000 0.265 1
Pb1 0.250 0.250 0.250 1
```

---

We find 2 to be the most stable, with the next structure 18 meV per atom higher.

---

--- 1 ---
## PPd4Pb (GGA-PBE)

Data for PPd4Pb after structural relaxation.

Summary:
Crystal system   monoclinic
DOS at the Fermi energy   8.1 states/eV per cell

Structure (CIF):
```
data_PPd4Pb
_cell_length_a 13.107
_cell_length_b 5.962
_cell_length_c 5.499
_cell_angle_alpha 90.00
_cell_angle_beta 97.76
_cell_angle_gamma 90.00
_symmetry_space_group_name_H-M 'C 1 2/c 1'
_symmetry_Int_Tables_number 15
loop_
_symmetry_equiv_pos_as_xyz
'x,y,z'
'-x,-y,-z'
'-x,y,-z+1/2'
'x,-y,z+1/2'
'x+1/2,y+1/2,z'
'-x+1/2,-y+1/2,-z'
'-x+1/2,y+1/2,-z+1/2'
'x+1/2,-y+1/2,z+1/2'
loop_
_atom_site_label
_atom_site_fract_x
_atom_site_fract_y
_atom_site_fract_z
_atom_site_occupancy
P1 0.250 0.250 0.000 1
Pd1 0.097 0.068 0.910 1
Pd2 0.186 0.409 0.622 1
Pb1 0.000 0.344 0.250 1
```

---

--- 2 ---
## PPd4Pb (GGA-PBE)

Data for PPd4Pb after structural relaxation.

Summary:
Crystal system   orthorhombic
DOS at the Fermi energy   8.9 states/eV per cell

Structure (CIF):
```
data_PPd4Pb
_cell_length_a 6.796
_cell_length_b 3.554
_cell_length_c 16.834
_cell_angle_alpha 90.00
_cell_angle_beta 90.00
_cell_angle_gamma 90.00
_symmetry_space_group_name_H-M 'P n m a'
_symmetry_Int_Tables_number 62
loop_
_symmetry_equiv_pos_as_xyz
'x,y,z'
'-x,-y,-z'
'-x+1/2,-y,z+1/2'
'x+1/2,y,-z+1/2'
'x+1/2,-y+1/2,-z+1/2'
'-x+1/2,y+1/2,z+1/2'
'-x,y+1/2,-z'
'x,-y+1/2,z'
loop_
_atom_site_label
_atom_site_fract_x
_atom_site_fract_y
_atom_site_fract_z
_atom_site_occupancy
P1 0.249 0.250 0.052 1
Pd1 0.012 0.250 0.938 1
Pd2 0.082 0.250 0.191 1
Pd3 0.121 0.250 0.635 1
Pd4 0.135 0.250 0.460 1
Pb1 0.247 0.250 0.803 1
```

---

We find 2 to be the most stable, with the next structure 20 meV per atom higher.

---

--- 1 ---
## PPdPb3 (GGA-PBE)

Data for PPdPb3 after structural relaxation.

Summary:
Crystal system   cubic
DOS at the Fermi energy   2.5 states/eV per cell

Structure (CIF):
```
data_PPdPb3
_cell_length_a 5.304
_cell_length_b 5.304
_cell_length_c 5.304
_cell_angle_alpha 90.00
_cell_angle_beta 90.00
_cell_angle_gamma 90.00
_symmetry_space_group_name_H-M 'P m -3 m'
_symmetry_Int_Tables_number 221
_symmetry_space_group_name_Hall '-P 4 2 3'
loop_
_atom_site_label
_atom_site_fract_x
_atom_site_fract_y
_atom_site_fract_z
_atom_site_occupancy
P1 0.000 0.000 0.000 1
Pd1 0.500 0.500 0.500 1
Pb1 0.000 0.500 0.500 1
```

---

--- 2 ---
## PPdPb3 (GGA-PBE)

Data for PPdPb3 after structural relaxation.

Summary:
Crystal system   cubic
DOS at the Fermi energy   2.9 states/eV per cell

Structure (CIF):
```
data_PPdPb3
_cell_length_a 5.381
_cell_length_b 5.381
_cell_length_c 5.381
_cell_angle_alpha 90.00
_cell_angle_beta 90.00
_cell_angle_gamma 90.00
_symmetry_space_group_name_H-M 'P m -3 m'
_symmetry_Int_Tables_number 221
_symmetry_space_group_name_Hall '-P 4 2 3'
loop_
_atom_site_label
_atom_site_fract_x
_atom_site_fract_y
_atom_site_fract_z
_atom_site_occupancy
P1 0.000 0.000 0.000 1
Pd1 0.500 0.500 0.500 1
Pb1 0.000 0.000 0.500 1
```

---

We find 1 to be the most stable, with the next structure 249 meV per atom higher.

---

--- 1 ---
## P2PdPbS (GGA-PBE)

Data for P2PdPbS after structural relaxation.

Summary:
Crystal system   tetragonal
DOS at the Fermi energy   6.6 states/eV per cell

Structure (CIF):
```
data_P2PdPbS
_cell_length_a 5.178
_cell_length_b 5.178
_cell_length_c 5.115
_cell_angle_alpha 90.00
_cell_angle_beta 90.00
_cell_angle_gamma 90.00
_symmetry_space_group_name_H-M 'P 4/m m m'
_symmetry_Int_Tables_number 123
_symmetry_space_group_name_Hall '-P 4 2'
loop_
_atom_site_label
_atom_site_fract_x
_atom_site_fract_y
_atom_site_fract_z
_atom_site_occupancy
P1 0.000 0.500 0.000 1
Pd1 0.000 0.000 0.500 1
Pb1 0.500 0.500 0.000 1
S1 0.500 0.500 0.500 1
```

---

--- 2 ---
## P2PdPbS (GGA-PBE)

Data for P2PdPbS after structural relaxation.

Summary:
Crystal system   tetragonal
DOS at the Fermi energy   4.5 states/eV per cell

Structure (CIF):
```
data_P2PdPbS
_cell_length_a 4.626
_cell_length_b 4.626
_cell_length_c 5.200
_cell_angle_alpha 90.00
_cell_angle_beta 90.00
_cell_angle_gamma 90.00
_symmetry_space_group_name_H-M 'P 4/m m m'
_symmetry_Int_Tables_number 123
_symmetry_space_group_name_Hall '-P 4 2'
loop_
_atom_site_label
_atom_site_fract_x
_atom_site_fract_y
_atom_site_fract_z
_atom_site_occupancy
P1 0.000 0.500 0.000 1
Pd1 0.000 0.000 0.000 1
Pb1 0.500 0.500 0.500 1
S1 0.000 0.000 0.500 1
```

---

We find 2 to be the most stable, with the next structure 1035 meV per atom higher.

---

--- 1 ---
## Pm3PPb (GGA-PBE)

Data for Pm3PPb after structural relaxation.

Summary:
Crystal system   monoclinic
DOS at the Fermi energy   34.9 states/eV per cell

Structure (CIF):
```
data_Pm3PPb
_cell_length_a 12.559
_cell_length_b 14.508
_cell_length_c 6.815
_cell_angle_alpha 90.00
_cell_angle_beta 96.62
_cell_angle_gamma 90.00
_symmetry_space_group_name_H-M 'C 1 2/c 1'
_symmetry_Int_Tables_number 15
loop_
_symmetry_equiv_pos_as_xyz
'x,y,z'
'-x,-y,-z'
'-x,y,-z+1/2'
'x,-y,z+1/2'
'x+1/2,y+1/2,z'
'-x+1/2,-y+1/2,-z'
'-x+1/2,y+1/2,-z+1/2'
'x+1/2,-y+1/2,z+1/2'
loop_
_atom_site_label
_atom_site_fract_x
_atom_site_fract_y
_atom_site_fract_z
_atom_site_occupancy
Pm1 0.092 0.133 0.056 1
Pm2 0.131 0.429 0.114 1
Pm3 0.132 0.294 0.612 1
P1 0.000 0.286 0.250 1
P2 0.000 0.432 0.750 1
Pb1 0.171 0.078 0.532 1
```

---

--- 2 ---
## Pm3PPb (GGA-PBE)

Data for Pm3PPb after structural relaxation.

Summary:
Crystal system   cubic
DOS at the Fermi energy   3.5 states/eV per cell

Structure (CIF):
```
data_Pm3PPb
_cell_length_a 5.423
_cell_length_b 5.423
_cell_length_c 5.423
_cell_angle_alpha 90.00
_cell_angle_beta 90.00
_cell_angle_gamma 90.00
_symmetry_space_group_name_H-M 'P m -3 m'
_symmetry_Int_Tables_number 221
_symmetry_space_group_name_Hall '-P 4 2 3'
loop_
_atom_site_label
_atom_site_fract_x
_atom_site_fract_y
_atom_site_fract_z
_atom_site_occupancy
Pm1 0.000 0.000 0.500 1
P1 0.000 0.000 0.000 1
Pb1 0.500 0.500 0.500 1
```

---

--- 3 ---
## Pm3PPb (GGA-PBE)

Data for Pm3PPb after structural relaxation.

Summary:
Crystal system   orthorhombic
DOS at the Fermi energy   13.7 states/eV per cell

Structure (CIF):
```
data_Pm3PPb
_cell_length_a 8.827
_cell_length_b 4.307
_cell_length_c 15.401
_cell_angle_alpha 90.00
_cell_angle_beta 90.00
_cell_angle_gamma 90.00
_symmetry_space_group_name_H-M 'P n m a'
_symmetry_Int_Tables_number 62
loop_
_symmetry_equiv_pos_as_xyz
'x,y,z'
'-x,-y,-z'
'-x+1/2,-y,z+1/2'
'x+1/2,y,-z+1/2'
'x+1/2,-y+1/2,-z+1/2'
'-x+1/2,y+1/2,z+1/2'
'-x,y+1/2,-z'
'x,-y+1/2,z'
loop_
_atom_site_label
_atom_site_fract_x
_atom_site_fract_y
_atom_site_fract_z
_atom_site_occupancy
Pm1 0.022 0.250 0.107 1
Pm2 0.159 0.250 0.516 1
Pm3 0.187 0.750 0.286 1
P1 0.172 0.250 0.945 1
Pb1 0.093 0.750 0.678 1
```

---

We find 3 to be the most stable, with the next structure 108 meV per atom higher.

---

--- 1 ---
## Pm2PPb (GGA-PBE)

Data for Pm2PPb after structural relaxation.

Summary:
Crystal system   trigonal
DOS at the Fermi energy   4.6 states/eV per cell

Structure (CIF):
```
data_Pm2PPb
_cell_length_a 4.0472
_cell_length_b 4.0472
_cell_length_c 24.3431
_cell_angle_alpha 90.00
_cell_angle_beta 90.00
_cell_angle_gamma 120.00
_symmetry_space_group_name_H-M 'R -3 m'
_symmetry_Int_Tables_number 166
_symmetry_space_group_name_Hall '-R 3 2"'
loop_
_atom_site_label
_atom_site_fract_x
_atom_site_fract_y
_atom_site_fract_z
_atom_site_occupancy
Pm1 0.0000 0.0000 0.2336 1
P1 0.0000 0.0000 0.5000 1
Pb1 0.0000 0.0000 0.0000 1
```

---

--- 2 ---
## Pm2PPb (GGA-PBE)

Data for Pm2PPb after structural relaxation.

Summary:
Crystal system   cubic
DOS at the Fermi energy   21.9 states/eV per cell

Structure (CIF):
```
data_Pm2PPb
_cell_length_a 7.530
_cell_length_b 7.530
_cell_length_c 7.530
_cell_angle_alpha 90.00
_cell_angle_beta 90.00
_cell_angle_gamma 90.00
_symmetry_space_group_name_H-M 'F m -3 m'
_symmetry_Int_Tables_number 225
_symmetry_space_group_name_Hall '-F 4 2 3'
loop_
_atom_site_label
_atom_site_fract_x
_atom_site_fract_y
_atom_site_fract_z
_atom_site_occupancy
Pm1 0.250 0.250 0.250 1
P1 0.000 0.000 0.000 1
Pb1 0.000 0.000 0.500 1
```

---

We find 1 to be the most stable, with the next structure 508 meV per atom higher.